LaDyHoTm | the Alexandria database | PBE | relaxed; calculated volume = 131.17 Å³/f.u.; SG = Cm, No. 8; ΔE_f = 42 kJ/mol of formula units
1.0
6.1827 -2.9080 0.0000
6.1827 2.9080 0.0000
-1.1891 0.0000 3.6479
La Dy Ho Tm
1 1 1 1
Direct
0.0000 0.0000 0.0000
0.2636 0.2636 0.7735
0.7395 0.7395 0.2488
0.5024 0.5024 0.5082

=====

Ac5Ga3 | the Alexandria database | PBE | relaxed; calculated volume = 275.23 Å³/f.u.; SG = I4/mcm, No. 140; ΔE_f = -271 kJ/mol of formula units
1.0
-6.3107 6.3107 3.4555
6.3107 -6.3107 3.4555
6.3107 6.3107 -3.4555
Ac Ga
10 6
Direct
0.0863 0.7924 0.8787
0.2076 0.0863 0.2939
0.2500 0.7500 0.5000
0.2924 0.5863 0.8787
0.4137 0.2924 0.7061
0.5863 0.7076 0.2939
0.7076 0.4137 0.1213
0.7500 0.2500 0.5000
0.7924 0.9137 0.7061
0.9137 0.2076 0.1213
0.1576 0.3424 0.5000
0.2500 0.2500 0.0000
0.3424 0.8424 0.1848
0.6576 0.1576 0.8152
0.7500 0.7500 0.0000
0.8424 0.6576 0.5000

=====

AcSc2Al6 | the Alexandria database | PBE | relaxed; calculated volume = 206.12 Å³/f.u.; SG = Immm, No. 71; ΔE_f = -252 kJ/mol of formula units
1.0
-2.1994 3.6563 6.4079
2.1994 -3.6563 6.4079
2.1994 3.6563 -6.4079
Ac Sc Al
1 2 6
Direct
0.0000 0.0000 0.0000
0.3799 0.8799 0.5000
0.6201 0.1201 0.5000
0.0114 0.3082 0.7032
0.3288 0.5000 0.8288
0.3950 0.6918 0.7032
0.6050 0.3082 0.2968
0.6712 0.5000 0.1712
0.9886 0.6918 0.2968

=====

CdCuNi | the Alexandria database | PBE | relaxed; calculated volume = 43.12 Å³/f.u.; SG = Imma, No. 74; ΔE_f = 6 kJ/mol of formula units
1.0
-2.4505 2.5455 3.4561
2.4505 -2.5455 3.4561
2.4505 2.5455 -3.4561
Cd Cu Ni
2 2 2
Direct
0.3770 0.1270 0.2500
0.6230 0.8730 0.7500
0.0000 0.0000 0.5000
0.0000 0.5000 0.0000
0.0000 0.5000 0.5000
0.5000 0.5000 0.0000

=====

LaCe4Nd3S8 | the Alexandria database | PBE | relaxed; calculated volume = 378.54 Å³/f.u.; raw formation energy = -2.0539 eV per atom; SG = R-3m, No. 166
1.0
4.0586 2.3432 6.6340
-4.0586 2.3432 6.6340
0.0000 -4.6864 6.6340
La Ce Nd S
1 4 3 8
Direct
0.0000 0.0000 0.0000
0.0000 0.0000 0.5000
0.0000 0.5000 0.0000
0.5000 0.0000 0.0000
0.5000 0.5000 0.5000
0.0000 0.5000 0.5000
0.5000 0.0000 0.5000
0.5000 0.5000 0.0000
0.2490 0.2490 0.2490
0.2511 0.7470 0.7470
0.2530 0.2530 0.7489
0.2530 0.7489 0.2530
0.7470 0.2511 0.7470
0.7470 0.7470 0.2511
0.7489 0.2530 0.2530
0.7510 0.7510 0.7510

=====

PrTc3P2 | the Alexandria database | PBE | relaxed; calculated volume = 99.60 Å³/f.u.; SG = C2/m, No. 12; ΔE_f = -355 kJ/mol of formula units
1.0
7.9499 -2.0461 0.0000
7.9499 2.0461 0.0000
-2.6000 0.0000 9.1853
Pr Tc P
3 9 6
Direct
0.0000 0.0000 0.0000
0.1607 0.1607 0.7110
0.8393 0.8393 0.2890
0.0384 0.0384 0.3644
0.2073 0.2073 0.3877
0.3216 0.3216 0.0172
0.3808 0.3808 0.7941
0.5000 0.5000 0.5000
0.6192 0.6192 0.2059
0.6784 0.6784 0.9828
0.7927 0.7927 0.6123
0.9616 0.9616 0.6356
0.1997 0.1997 0.1311
0.3515 0.3515 0.5368
0.4626 0.4626 0.2122
0.5374 0.5374 0.7878
0.6485 0.6485 0.4632
0.8003 0.8003 0.8689

=====

Li2NdHg2 | the Alexandria database | PBE | relaxed; calculated volume = 115.44 Å³/f.u.; SG = I4/mmm, No. 139; ΔE_f = -170 kJ/mol of formula units
1.0
-2.0367 2.0367 6.9571
2.0367 -2.0367 6.9571
2.0367 2.0367 -6.9571
Li Nd Hg
2 1 2
Direct
0.2500 0.7500 0.5000
0.7500 0.2500 0.5000
0.0000 0.0000 0.0000
0.3866 0.3866 0.0000
0.6134 0.6134 0.0000

=====

Ru2PbCl | the Alexandria database | PBE | relaxed; calculated volume = 71.13 Å³/f.u.; raw formation energy = 0.7346 eV per atom; SG = Pmmm, No. 47
1.0
3.0130 0.0000 0.0000
0.0000 4.4840 0.0000
0.0000 0.0000 5.2653
Ru Pb Cl
2 1 1
Direct
0.0000 0.0000 0.0000
0.5000 0.0000 0.5000
0.0000 0.5000 0.5000
0.5000 0.5000 0.0000